1.
This record from Alexandria describes a geometry-optimized Ca2TbPrTe4 structure. The functional is PBE-GGA.

```
data_Ca2TbPrTe4
_space_group_name_H-M_alt 'P 1 2/m 1'
_space_group_IT_number 10
_cell_length_a 7.690
_cell_length_b 4.437
_cell_length_c 7.862
_cell_angle_alpha 90.00
_cell_angle_beta 109.03
_cell_angle_gamma 90.00
loop_
_space_group_symop_operation_xyz
'x,y,z'
'-x,-y,-z'
'-x,y,-z'
'x,-y,z'
loop_
_atom_site_label
_atom_site_type_symbol
_atom_site_fract_x
_atom_site_fract_y
_atom_site_fract_z
Ca1 Ca 0.000 0.000 0.000
Ca2 Ca 0.500 0.500 0.000
Tb1 Tb 0.000 0.500 0.500
Pr1 Pr 0.500 0.000 0.500
Te1 Te 0.242 0.500 0.246
Te2 Te 0.244 0.000 0.749
```

Values from the calculation:
theoretical density: 5.8 Mg/m³
formation energy from raw total energies: -144 kJ/mol of atoms


2.
This record from Alexandria describes a geometry-optimized SrCuH3ClO3 structure. The functional is PBE-GGA.

```
data_SrCuH3ClO3
_space_group_name_H-M_alt 'P m n 21'
_space_group_IT_number 31
_cell_length_a 16.239
_cell_length_b 6.591
_cell_length_c 6.590
_cell_angle_alpha 90.00
_cell_angle_beta 90.00
_cell_angle_gamma 90.00
loop_
_space_group_symop_operation_xyz
'x,y,z'
'-x+1/2,-y,z+1/2'
'-x,y,z'
'x+1/2,-y,z+1/2'
loop_
_atom_site_label
_atom_site_type_symbol
_atom_site_fract_x
_atom_site_fract_y
_atom_site_fract_z
Sr1 Sr 0.000 0.163 0.000
Sr2 Sr 0.173 0.426 0.334
Cu1 Cu 0.000 0.024 0.503
Cu2 Cu 0.099 0.699 0.824
H1 H 0.000 0.675 0.112
H2 H 0.126 0.992 0.292
H3 H 0.136 0.038 0.679
H4 H 0.156 0.362 0.873
H5 H 0.206 0.790 0.583
Cl1 Cl 0.000 0.560 0.421
Cl2 Cl 0.242 0.820 0.168
O1 O 0.000 0.756 0.987
O2 O 0.083 0.981 0.721
O3 O 0.088 0.104 0.312
O4 O 0.116 0.434 0.957
O5 O 0.195 0.658 0.646
```

Values from the calculation:
energy: -271.7 eV for the cell shown
theoretical density: 3.4 Mg/m³


3.
This record from Alexandria describes a geometry-optimized Mn2CrN3 structure. The functional is PBE-GGA.

```
data_Mn2CrN3
_space_group_name_H-M_alt 'C m c 21'
_space_group_IT_number 36
_cell_length_a 9.165
_cell_length_b 5.067
_cell_length_c 5.024
_cell_angle_alpha 90.00
_cell_angle_beta 90.00
_cell_angle_gamma 90.00
loop_
_space_group_symop_operation_xyz
'x,y,z'
'-x,-y,z+1/2'
'-x,y,z'
'x,-y,z+1/2'
'x+1/2,y+1/2,z'
'-x+1/2,-y+1/2,z+1/2'
'-x+1/2,y+1/2,z'
'x+1/2,-y+1/2,z+1/2'
loop_
_atom_site_label
_atom_site_type_symbol
_atom_site_fract_x
_atom_site_fract_y
_atom_site_fract_z
Mn1 Mn 0.190 0.182 0.000
Cr1 Cr 0.000 0.341 0.554
N1 N 0.000 0.319 0.924
N2 N 0.145 0.160 0.364
```

Values from the calculation:
theoretical density: 5.8 Mg/m³
formation energy from raw total energies: -26 kJ/mol of atoms


4.
This record from Alexandria describes a geometry-optimized Ba3NaTi structure. The functional is PBE-GGA.

```
data_Ba3NaTi
_space_group_name_H-M_alt 'P m -3 m'
_space_group_IT_number 221
_space_group_name_Hall '-P 4 2 3'
_cell_length_a 6.515
_cell_length_b 6.515
_cell_length_c 6.515
_cell_angle_alpha 90.00
_cell_angle_beta 90.00
_cell_angle_gamma 90.00
loop_
_atom_site_label
_atom_site_type_symbol
_atom_site_fract_x
_atom_site_fract_y
_atom_site_fract_z
Ba1 Ba 0.000 0.000 0.500
Na1 Na 0.500 0.500 0.500
Ti1 Ti 0.000 0.000 0.000
```

Values from the calculation:
energy relative to the lowest polymorph listed for this composition: 0.000 eV/atom
theoretical density: 2.9 Mg/m³
ΔE_f: 263.7 kJ/mol of formula units


5.
This record from Alexandria describes a geometry-optimized RuS2I structure. The functional is PBE-GGA.

```
data_RuS2I
_space_group_name_H-M_alt 'R -3 m'
_space_group_IT_number 166
_space_group_name_Hall '-R 3 2"'
_cell_length_a 3.6826
_cell_length_b 3.6826
_cell_length_c 22.8044
_cell_angle_alpha 90.00
_cell_angle_beta 90.00
_cell_angle_gamma 120.00
loop_
_atom_site_label
_atom_site_type_symbol
_atom_site_fract_x
_atom_site_fract_y
_atom_site_fract_z
Ru1 Ru 0.0000 0.0000 0.0000
S1 S 0.0000 0.0000 0.3819
I1 I 0.0000 0.0000 0.5000
```

Values from the calculation:
energy relative to the lowest polymorph listed for this composition: 0.000 eV/atom
theoretical density: 5.4 Mg/m³
formation energy from raw total energies: -9 kJ/mol of atoms


6.
This record from Alexandria describes a geometry-optimized CaAcCuPt structure. The functional is PBE-GGA.

```
data_CaAcCuPt
_space_group_name_H-M_alt 'A m m 2'
_space_group_IT_number 38
_cell_length_a 4.393
_cell_length_b 4.212
_cell_length_c 11.266
_cell_angle_alpha 90.00
_cell_angle_beta 90.00
_cell_angle_gamma 90.00
loop_
_space_group_symop_operation_xyz
'x,y,z'
'-x,-y,z'
'-x,y,z'
'x,-y,z'
'x,y+1/2,z+1/2'
'-x,-y+1/2,z+1/2'
'-x,y+1/2,z+1/2'
'x,-y+1/2,z+1/2'
loop_
_atom_site_label
_atom_site_type_symbol
_atom_site_fract_x
_atom_site_fract_y
_atom_site_fract_z
Ca1 Ca 0.000 0.000 0.000
Ac1 Ac 0.500 0.000 0.723
Cu1 Cu 0.500 0.000 0.432
Pt1 Pt 0.000 0.000 0.288
```

Values from the calculation:
energy relative to the lowest polymorph listed for this composition: 0.000 eV/atom
theoretical density: 8.4 Mg/m³
ΔE_f: -251.6 kJ/mol of formula units


7.
This record from Alexandria describes a geometry-optimized HPd2Br structure. The functional is PBE-GGA.

```
data_HPd2Br
_space_group_name_H-M_alt 'F m -3 m'
_space_group_IT_number 225
_space_group_name_Hall '-F 4 2 3'
_cell_length_a 6.212
_cell_length_b 6.212
_cell_length_c 6.212
_cell_angle_alpha 90.00
_cell_angle_beta 90.00
_cell_angle_gamma 90.00
loop_
_atom_site_label
_atom_site_type_symbol
_atom_site_fract_x
_atom_site_fract_y
_atom_site_fract_z
H1 H 0.000 0.000 0.000
Pd1 Pd 0.250 0.250 0.250
Br1 Br 0.000 0.000 0.500
```

Values from the calculation:
energy relative to the lowest polymorph listed for this composition: 0.567 eV/atom
theoretical density: 8.1 Mg/m³


8.
This record from Alexandria describes a geometry-optimized Sr2Li3Ca5 structure. The functional is PBE-GGA.

```
data_Sr2Li3Ca5
_space_group_name_H-M_alt 'C 1 2/c 1'
_space_group_IT_number 15
_cell_length_a 13.325
_cell_length_b 17.209
_cell_length_c 6.919
_cell_angle_alpha 90.00
_cell_angle_beta 100.07
_cell_angle_gamma 90.00
loop_
_space_group_symop_operation_xyz
'x,y,z'
'-x,-y,-z'
'-x,y,-z+1/2'
'x,-y,z+1/2'
'x+1/2,y+1/2,z'
'-x+1/2,-y+1/2,-z'
'-x+1/2,y+1/2,-z+1/2'
'x+1/2,-y+1/2,z+1/2'
loop_
_atom_site_label
_atom_site_type_symbol
_atom_site_fract_x
_atom_site_fract_y
_atom_site_fract_z
Sr1 Sr 0.114 0.210 0.062
Li1 Li 0.000 0.496 0.250
Li2 Li 0.149 0.140 0.560
Ca1 Ca 0.000 0.002 0.250
Ca2 Ca 0.111 0.347 0.550
Ca3 Ca 0.210 0.450 0.061
```

Values from the calculation:
theoretical density: 1.7 Mg/m³
ΔE_f: 58.3 kJ/mol of formula units